MnIrO2: relaxed, GGA+U.

Geometry as CIF:
```
data_MnIrO2
_symmetry_space_group_name_H-M 'F m -3 m'
_symmetry_Int_Tables_number 225
_symmetry_space_group_name_Hall '-F 4 2 3'
_cell_length_a 5.597
_cell_length_b 5.597
_cell_length_c 5.597
_cell_angle_alpha 90.00
_cell_angle_beta 90.00
_cell_angle_gamma 90.00
loop_
_atom_site_label
_atom_site_type_symbol
_atom_site_fract_x
_atom_site_fract_y
_atom_site_fract_z
Mn1 Mn 0.000 0.000 0.000
Ir1 Ir 0.000 0.000 0.500
O1 O 0.250 0.250 0.250
```

Values from the calculation:
V   43.8 Å³/f.u.
Total energy   -6.592 eV per atom
Relative energy among the computed polymorphs   0.918 eV per atom
Fermi-level density of states   11.4 states/eV per cell